[1]
Here is crystalline AcLa2S at its relaxed geometry from the Alexandria database. Energies are from PBE.

Values from the calculation:
Theoretical density = 6.446 g/cm3

Unit cell a=10.117 b=10.117 c=10.117 alpha=22.96 beta=22.96 gamma=22.96
Fractional positions:
1 Ac 0.000 0.000 0.000
2 La 0.559 0.559 0.559
3 La 0.774 0.774 0.774
4 S 0.167 0.167 0.167

=====

[2]
Here is crystalline Ac5LaS6 at its relaxed geometry from the Alexandria database. Energies are from PBE.

Values from the calculation:
Theoretical density = 7.310 g/cm3

Unit cell a=7.423 b=7.423 c=7.417 alpha=99.68 beta=99.68 gamma=120.07
Fractional positions:
1 Ac 0.000 0.000 0.000
2 Ac 0.166 0.834 0.500
3 Ac 0.332 0.668 0.000
4 Ac 0.668 0.332 0.000
5 Ac 0.834 0.166 0.500
6 La 0.500 0.500 0.500
7 S 0.090 0.418 0.254
8 S 0.254 0.254 0.748
9 S 0.418 0.090 0.254
10 S 0.582 0.910 0.746
11 S 0.746 0.746 0.252
12 S 0.910 0.582 0.746

=====

[3]
Here is crystalline AcLaS4 at its relaxed geometry from the Alexandria database. Energies are from PBE.

Values from the calculation:
Theoretical density = 5.093 g/cm3

Unit cell a=7.797 b=7.797 c=7.797 alpha=122.39 beta=122.39 gamma=85.91
Fractional positions:
1 Ac 0.375 0.625 0.750
2 Ac 0.625 0.375 0.250
3 La 0.125 0.875 0.250
4 La 0.875 0.125 0.750
5 S 0.000 0.243 0.243
6 S 0.000 0.757 0.757
7 S 0.243 0.000 0.743
8 S 0.243 0.500 0.243
9 S 0.500 0.243 0.743
10 S 0.500 0.757 0.257
11 S 0.757 0.000 0.257
12 S 0.757 0.500 0.757

=====

[4]
Here is crystalline AcLa5S8 at its relaxed geometry from the Alexandria database. Energies are from PBE.

Values from the calculation:
Theoretical density = 5.749 g/cm3

Unit cell a=7.618 b=7.618 c=7.618 alpha=109.51 beta=109.51 gamma=109.39
Fractional positions:
1 Ac 0.000 0.000 0.000
2 La 0.253 0.626 0.128
3 La 0.374 0.502 0.628
4 La 0.498 0.125 0.872
5 La 0.750 0.250 0.500
6 La 0.875 0.747 0.372
7 S 0.125 0.227 0.748
8 S 0.128 0.723 0.748
9 S 0.277 0.025 0.405
10 S 0.479 0.377 0.252
11 S 0.620 0.872 0.595
12 S 0.623 0.875 0.102
13 S 0.773 0.521 0.898
14 S 0.975 0.380 0.252

=====

Uncorrected energy: -22.0 -74.7 -71.6 -91.9 (eV per cell)
Energy relative to the elements, uncorrected: -0.977 -2.035 -1.706 -2.156 (eV per atom)